a.
MgTl3Se: optimized geometry, PBE-GGA.

POSCAR file:
```
MgTl3Se
1.0
5.500 0.000 0.000
0.000 5.500 0.000
0.000 0.000 5.500
Mg Tl Se
1 3 1
Cartesian
0.000 0.000 0.000
0.000 0.000 2.750
0.000 2.750 0.000
2.750 0.000 0.000
2.750 2.750 2.750
```

Values from the calculation:
ρ   7.2 g cm⁻³
D(E_F)   2.28 states/eV/f.u.

***

b.
MgTl3Se: optimized geometry, PBE-GGA.

POSCAR file:
```
MgTl3Se
1.0
5.939 0.000 0.000
0.000 5.939 0.000
0.000 0.000 5.939
Mg Tl Se
1 3 1
Cartesian
0.000 0.000 0.000
0.000 2.970 2.970
2.970 0.000 2.970
2.970 2.970 0.000
2.970 2.970 2.970
```

Values from the calculation:
ρ   5.7 g cm⁻³
D(E_F)   3.23 states/eV/f.u.

***

It is a that is the most stable of them.

***

a.
TmMgSe2: optimized geometry, PBE-GGA.

POSCAR file:
```
TmMgSe2
1.0
1.932 1.116 6.889
-1.932 1.116 6.889
0.000 -2.231 6.889
Tm Mg Se
1 1 2
Cartesian
0.000 0.000 0.000
0.000 0.000 3.457
0.000 0.000 11.909
0.000 0.000 15.603
```

Values from the calculation:
ρ   6.5 g cm⁻³
D(E_F)   1.10 states/eV/f.u.

***

b.
TmMgSe2: optimized geometry, PBE-GGA.

POSCAR file:
```
TmMgSe2
1.0
4.183 0.000 0.000
-2.091 3.622 0.000
0.000 0.000 7.694
Tm Mg Se
1 1 2
Cartesian
0.000 0.000 0.000
0.000 2.415 3.678
0.000 0.000 2.775
0.000 2.415 6.289
```

Values from the calculation:
ρ   5.0 g cm⁻³
D(E_F)   0.82 states/eV/f.u.

***

c.
TmMgSe2: optimized geometry, PBE-GGA.

POSCAR file:
```
TmMgSe2
1.0
1.931 1.115 6.847
-1.931 1.115 6.847
0.000 -2.229 6.847
Tm Mg Se
1 1 2
Cartesian
0.000 0.000 0.000
0.000 0.000 10.271
0.000 0.000 5.038
0.000 0.000 15.505
```

Values from the calculation:
ρ   6.6 g cm⁻³
D(E_F)   1.76 states/eV/f.u.

***

It is a that is the most stable of them.

***

a.
MgVSe: optimized geometry, PBE-GGA.

POSCAR file:
```
MgVSe
1.0
3.815 0.000 0.000
1.841 5.600 0.000
0.905 2.622 5.591
Mg V Se
2 2 2
Cartesian
0.000 0.000 0.000
1.696 2.168 1.237
3.874 5.011 2.179
5.198 6.153 2.968
2.067 3.639 3.415
4.660 6.269 5.496
```

Values from the calculation:
ρ   4.3 g cm⁻³
D(E_F)   0.08 states/eV/f.u.

***

b.
MgVSe: optimized geometry, PBE-GGA.

POSCAR file:
```
MgVSe
1.0
4.248 0.000 0.000
0.000 3.385 0.000
-2.120 0.000 7.925
Mg V Se
2 2 2
Cartesian
0.006 0.846 1.312
2.121 2.538 6.613
0.003 2.538 3.866
2.124 0.846 4.059
-0.002 0.846 5.652
2.129 2.538 2.273
```

Values from the calculation:
ρ   4.5 g cm⁻³
D(E_F)   1.46 states/eV/f.u.

***

It is b that is the most stable of them.

***

a.
MgVSe: optimized geometry, PBE-GGA.

POSCAR file:
```
MgVSe
1.0
3.389 0.000 0.000
1.390 5.601 0.000
0.193 2.396 6.298
Mg V Se
2 2 2
Cartesian
0.000 0.000 0.000
1.804 3.225 1.765
3.207 5.599 2.573
3.551 4.187 3.879
1.864 4.555 5.688
3.494 1.668 3.502
```

Values from the calculation:
ρ   4.3 g cm⁻³
D(E_F)   0.70 states/eV/f.u.

***

b.
MgVSe: optimized geometry, PBE-GGA.

POSCAR file:
```
MgVSe
1.0
5.436 0.000 0.000
0.000 3.269 0.000
0.000 0.000 6.222
Mg V Se
2 2 2
Cartesian
1.359 0.000 1.084
4.077 0.000 5.137
0.000 1.635 3.111
2.718 1.635 3.111
1.359 0.000 4.574
4.077 0.000 1.648
```

Values from the calculation:
ρ   4.6 g cm⁻³
D(E_F)   1.63 states/eV/f.u.

***

c.
MgVSe: optimized geometry, PBE-GGA.

POSCAR file:
```
MgVSe
1.0
3.340 0.000 0.000
0.076 4.636 0.000
1.524 0.527 8.020
Mg V Se
2 2 2
Cartesian
0.783 1.151 2.528
4.157 4.012 5.492
2.379 1.697 4.774
2.561 3.466 3.246
0.887 3.465 1.352
4.054 1.698 6.668
```

Values from the calculation:
ρ   4.1 g cm⁻³
D(E_F)   1.83 states/eV/f.u.

***

It is b that is the most stable of them.